Below is a PBEsol-optimized structure of Sr2TlHg, with properties calculated at the SCAN level.

```
Sr2TlHg
1.0
-3.679 -4.125 0.908
1.196 -5.227 -1.620
1.096 -3.938 3.830
Hg Tl Sr
1 1 2
Direct
0.500 0.500 0.500 Hg
0.000 0.000 0.000 Tl
0.750 0.750 0.750 Sr
0.250 0.250 0.250 Sr
```

E, eV per atom: -46.93
SG: Fm-3m
Total magnetization, μB/cell: 0.00
N(E_F), states/eV per atom: 0.653
Formation enthalpy at 0 K, kJ/mol of formula units: -255
Crystal system: cubic